Entry 1:
Here is crystalline TiSiIr at its relaxed geometry from Alexandria via LeMat-Bulk. Energies are from PBE.

a = 3.796 Å, b = 6.376 Å, c = 10.948 Å
α = 89.11°, β = 90.00°, γ = 90.00°
Atoms (fractional coordinates):
Ti: 0.750 0.009 0.294
Ti: 0.750 0.663 0.080
Si: 0.750 0.240 0.087
Ir: 0.250 0.357 0.203
Ir: 0.750 0.152 0.540
Si: 0.250 0.235 0.414
Si: 0.250 0.760 0.913
Ir: 0.750 0.643 0.797
Si: 0.750 0.765 0.586
Si: 0.250 0.720 0.254
Si: 0.750 0.280 0.746
Ti: 0.750 0.527 0.383
Ir: 0.750 0.028 0.906
Ti: 0.250 0.337 0.920
Ir: 0.250 0.848 0.460
Ir: 0.250 0.972 0.094
Ti: 0.250 0.473 0.617
Ti: 0.250 0.991 0.706

## Properties
D(E_F) = 13.1 states/eV/cell
Raw formation energy = -0.956 eV per atom
Space-group type = P2_1/m, No. 11
E_tot = -8.349 eV per atom
Calculated volume = 14.721 A^3/atom

Entry 2:
Here is crystalline Ti4Si6Ir7 at its relaxed geometry from Alexandria via LeMat-Bulk. Energies are from PBE.

a = 6.862 Å, b = 6.862 Å, c = 6.862 Å
α = 109.47°, β = 109.47°, γ = 109.47°
Atoms (fractional coordinates):
Si: 0.000 0.314 0.314
Ti: 0.500 0.000 0.000
Ir: 0.500 0.750 0.250
Ti: 0.000 0.000 0.500
Ir: 0.750 0.250 0.500
Ir: 0.250 0.500 0.750
Ir: 0.000 0.000 0.000
Ir: 0.250 0.750 0.500
Ti: 0.500 0.500 0.500
Si: 0.314 0.000 0.314
Si: 0.686 0.000 0.686
Ti: 0.000 0.500 0.000
Ir: 0.750 0.500 0.250
Ir: 0.500 0.250 0.750
Si: 0.686 0.686 0.000
Si: 0.314 0.314 0.000
Si: 0.000 0.686 0.686

## Properties
D(E_F) = 4.2 states/eV/cell
Raw formation energy = -0.855 eV per atom
Space-group type = Im-3m, No. 229
E_tot = -8.276 eV per atom
Calculated volume = 14.632 A^3/atom

Entry 3:
Here is crystalline Tm2TiSi3Ir4 at its relaxed geometry from Alexandria via LeMat-Bulk. Energies are from PBE.

a = 4.041 Å, b = 4.041 Å, c = 10.433 Å
α = 90.00°, β = 90.00°, γ = 90.00°
Atoms (fractional coordinates):
Ir: 0.000 0.000 0.000
Si: 0.000 0.000 0.500
Ir: 0.500 0.000 0.645
Ir: 0.500 0.500 0.000
Si: 0.000 0.500 0.127
Ti: 0.500 0.500 0.500
Ir: 0.000 0.500 0.355
Tm: 0.500 0.000 0.239
Si: 0.500 0.000 0.873
Tm: 0.000 0.500 0.761

## Properties
D(E_F) = 5.4 states/eV/cell
Raw formation energy = -1.036 eV per atom
Space-group type = P-4m2, No. 115
E_tot = -7.891 eV per atom
Calculated volume = 17.040 A^3/atom